Entry 1:
{
  "formula": "Li3ZrC",
  "functional": "PBE",
  "state": "optimized geometry",
  "density_g_cm3": 1.33,
  "ef_ev_per_atom": 2.479,
  "energy_ev_per_atom": -2.224,
  "relative_energy_ev_per_atom": 1.783,
  "cell": [[5.3743, 0.0000, 0.0000], [0.0000, 5.3743, 0.0000], [0.0000, 0.0000, 5.3743]],
  "species": ["Li", "Li", "Li", "Zr", "C"],
  "frac_coords": [[0.0000, 0.0000, 0.5000], [0.0000, 0.5000, 0.0000], [0.5000, 0.0000, 0.0000], [0.0000, 0.0000, 0.0000], [0.5000, 0.5000, 0.5000]]
}

---

Entry 2:
{
  "formula": "Li2ZrC",
  "functional": "PBE",
  "state": "optimized geometry",
  "density_g_cm3": 3.48,
  "ef_ev_per_atom": 0.182,
  "energy_ev_per_atom": -5.218,
  "cell": [[-1.6628, 1.6628, 10.1011], [1.6628, -1.6628, 10.1011], [1.6628, 1.6628, -10.1011]],
  "species": ["Li", "Li", "Li", "Li", "Zr", "Zr", "C", "C"],
  "frac_coords": [[0.0862, 0.1250, 0.4612], [0.3750, 0.9138, 0.0388], [0.6638, 0.6250, 0.5388], [0.8750, 0.3362, 0.9612], [0.2500, 0.7500, 0.5000], [0.5000, 0.5000, 0.0000], [0.0000, 0.0000, 0.0000], [0.7500, 0.2500, 0.5000]]
}

---

Entry 3:
{
  "formula": "LiZrC2",
  "functional": "PBE",
  "state": "optimized geometry",
  "density_g_cm3": 4.74,
  "ef_ev_per_atom": 0.717,
  "energy_ev_per_atom": -6.510,
  "relative_energy_ev_per_atom": 0.000,
  "cell": [[0.0000, 2.7760, 2.7760], [2.7760, 0.0000, 2.7760], [2.7760, 2.7760, 0.0000]],
  "species": ["Li", "Zr", "C", "C"],
  "frac_coords": [[0.0000, 0.0000, 0.0000], [0.5000, 0.5000, 0.5000], [0.2500, 0.2500, 0.2500], [0.7500, 0.7500, 0.7500]]
}

---

Entry 4:
{
  "formula": "Li3ZrC",
  "functional": "PBE",
  "state": "optimized geometry",
  "density_g_cm3": 3.17,
  "ef_ev_per_atom": 0.696,
  "energy_ev_per_atom": -4.007,
  "relative_energy_ev_per_atom": 0.000,
  "cell": [[4.0206, 0.0000, 0.0000], [0.0000, 4.0206, 0.0000], [0.0000, 0.0000, 4.0206]],
  "species": ["Li", "Li", "Li", "Zr", "C"],
  "frac_coords": [[0.0000, 0.0000, 0.5000], [0.0000, 0.5000, 0.0000], [0.5000, 0.0000, 0.0000], [0.5000, 0.5000, 0.5000], [0.0000, 0.0000, 0.0000]]
}

---

Total moment (Bohr magnetons per cell)
4.6, 0.0, 0.0, 0.7
D(E_F) (states/eV per cell)
5.49, 4.35, 4.22, 3.76